## 1
A plane-wave DFT calculation with PBE-GGA was carried out for a relaxed structure of BaSc2Fe.

Computed properties:
- DOS(E_F): 8.2 states/eV per cell
- Spin magnetization: 0.10 μB/atom

CIF file:
```
data_BaSc2Fe
_chemical_formula_sum 'Ba2 Sc4 Fe2'
_space_group_name_H-M_alt 'A m m 2'
_space_group_IT_number 38
_cell_length_a 4.5911
_cell_length_b 3.7788
_cell_length_c 13.4563
_cell_angle_alpha 90.00
_cell_angle_beta 90.00
_cell_angle_gamma 90.00
loop_
_space_group_symop_operation_xyz
'x,y,z'
'-x,-y,z'
'-x,y,z'
'x,-y,z'
'x,y+1/2,z+1/2'
'-x,-y+1/2,z+1/2'
'-x,y+1/2,z+1/2'
'x,-y+1/2,z+1/2'
loop_
_atom_site_label
_atom_site_fract_x
_atom_site_fract_y
_atom_site_fract_z
_atom_site_occupancy
Ba1 0.0000 0.0000 0.0000 1
Sc1 0.0000 0.0000 0.7215 1
Sc2 0.5000 0.0000 0.2860 1
Fe1 0.5000 0.0000 0.6515 1
```


## 2
A plane-wave DFT calculation with PBE-GGA was carried out for a relaxed structure of BaSc2Fe.

Computed properties:
- DOS(E_F): 14.1 states/eV per cell
- Spin magnetization: 0.00 μB/atom

CIF file:
```
data_BaSc2Fe
_chemical_formula_sum 'Ba3 Sc6 Fe3'
_space_group_name_H-M_alt 'R -3 m'
_space_group_IT_number 166
_space_group_name_Hall '-R 3 2"'
_cell_length_a 3.8847
_cell_length_b 3.8847
_cell_length_c 25.7635
_cell_angle_alpha 90.00
_cell_angle_beta 90.00
_cell_angle_gamma 120.00
loop_
_atom_site_label
_atom_site_fract_x
_atom_site_fract_y
_atom_site_fract_z
_atom_site_occupancy
Ba1 0.0000 0.0000 0.0000 1
Sc1 0.0000 0.0000 0.2125 1
Fe1 0.0000 0.0000 0.5000 1
```


## 3
A plane-wave DFT calculation with PBE-GGA was carried out for a relaxed structure of BaSc2Fe.

Computed properties:
- DOS(E_F): 20.7 states/eV per cell
- Spin magnetization: 0.00 μB/atom

CIF file:
```
data_BaSc2Fe
_chemical_formula_sum 'Ba4 Sc8 Fe4'
_space_group_name_H-M_alt 'F m -3 m'
_space_group_IT_number 225
_space_group_name_Hall '-F 4 2 3'
_cell_length_a 7.1310
_cell_length_b 7.1310
_cell_length_c 7.1310
_cell_angle_alpha 90.00
_cell_angle_beta 90.00
_cell_angle_gamma 90.00
loop_
_atom_site_label
_atom_site_fract_x
_atom_site_fract_y
_atom_site_fract_z
_atom_site_occupancy
Ba1 0.0000 0.0000 0.0000 1
Sc1 0.2500 0.2500 0.2500 1
Fe1 0.0000 0.0000 0.5000 1
```


## 4
A plane-wave DFT calculation with PBE-GGA was carried out for a relaxed structure of BaSc2Fe.

Computed properties:
- DOS(E_F): 3.5 states/eV per cell
- Spin magnetization: 0.00 μB/atom

CIF file:
```
data_BaSc2Fe
_chemical_formula_sum 'Ba1 Sc2 Fe1'
_space_group_name_H-M_alt 'P 1 2/m 1'
_space_group_IT_number 10
_cell_length_a 3.2490
_cell_length_b 3.2498
_cell_length_c 9.4846
_cell_angle_alpha 90.00
_cell_angle_beta 90.28
_cell_angle_gamma 90.00
loop_
_space_group_symop_operation_xyz
'x,y,z'
'-x,-y,-z'
'-x,y,-z'
'x,-y,z'
loop_
_atom_site_label
_atom_site_fract_x
_atom_site_fract_y
_atom_site_fract_z
_atom_site_occupancy
Ba1 0.0000 0.0000 0.0000 1
Sc1 0.4974 0.5000 0.3454 1
Fe1 0.0000 0.0000 0.5000 1
```


Relative stability in eV/atom, measured from the most stable structure: 1 0.220; 2 0.118; 3 0.535; 4 0.000


## 1
A plane-wave DFT calculation with PBE-GGA was carried out for a relaxed structure of BaSc2Fe.

Computed properties:
- DOS(E_F): 8.9 states/eV per cell
- Spin magnetization: 0.15 μB/atom

CIF file:
```
data_BaSc2Fe
_chemical_formula_sum 'Ba3 Sc6 Fe3'
_space_group_name_H-M_alt 'R -3 m'
_space_group_IT_number 166
_space_group_name_Hall '-R 3 2"'
_cell_length_a 3.5589
_cell_length_b 3.5589
_cell_length_c 30.2634
_cell_angle_alpha 90.00
_cell_angle_beta 90.00
_cell_angle_gamma 120.00
loop_
_atom_site_label
_atom_site_fract_x
_atom_site_fract_y
_atom_site_fract_z
_atom_site_occupancy
Ba1 0.0000 0.0000 0.0000 1
Sc1 0.0000 0.0000 0.1179 1
Fe1 0.0000 0.0000 0.5000 1
```


## 2
A plane-wave DFT calculation with PBE-GGA was carried out for a relaxed structure of BaSc2Fe.

Computed properties:
- DOS(E_F): 11.4 states/eV per cell
- Spin magnetization: 0.40 μB/atom

CIF file:
```
data_BaSc2Fe
_chemical_formula_sum 'Ba2 Sc4 Fe2'
_space_group_name_H-M_alt 'C 1 2/m 1'
_space_group_IT_number 12
_cell_length_a 6.4235
_cell_length_b 11.1794
_cell_length_c 3.2706
_cell_angle_alpha 90.00
_cell_angle_beta 119.21
_cell_angle_gamma 90.00
loop_
_space_group_symop_operation_xyz
'x,y,z'
'-x,-y,-z'
'-x,y,-z'
'x,-y,z'
'x+1/2,y+1/2,z'
'-x+1/2,-y+1/2,-z'
'-x+1/2,y+1/2,-z'
'x+1/2,-y+1/2,z'
loop_
_atom_site_label
_atom_site_fract_x
_atom_site_fract_y
_atom_site_fract_z
_atom_site_occupancy
Ba1 0.0000 0.0000 0.0000 1
Sc1 0.2500 0.2500 0.5000 1
Fe1 0.0000 0.5000 0.0000 1
```


Relative stability in eV/atom, measured from the most stable structure: 1 0.000; 2 0.336


## 1
A plane-wave DFT calculation with PBE-GGA was carried out for a relaxed structure of BaSc2Fe.

Computed properties:
- DOS(E_F): 33.7 states/eV per cell
- Spin magnetization: 0.26 μB/atom

CIF file:
```
data_BaSc2Fe
_chemical_formula_sum 'Ba4 Sc8 Fe4'
_space_group_name_H-M_alt 'F -4 3 m'
_space_group_IT_number 216
_space_group_name_Hall 'F -4 2 3'
_cell_length_a 7.4200
_cell_length_b 7.4200
_cell_length_c 7.4200
_cell_angle_alpha 90.00
_cell_angle_beta 90.00
_cell_angle_gamma 90.00
loop_
_atom_site_label
_atom_site_fract_x
_atom_site_fract_y
_atom_site_fract_z
_atom_site_occupancy
Ba1 0.0000 0.0000 0.0000 1
Sc1 0.0000 0.0000 0.5000 1
Sc2 0.2500 0.2500 0.7500 1
Fe1 0.2500 0.2500 0.2500 1
```


## 2
A plane-wave DFT calculation with PBE-GGA was carried out for a relaxed structure of BaSc2Fe.

Computed properties:
- DOS(E_F): 5.4 states/eV per cell
- Spin magnetization: 0.29 μB/atom

CIF file:
```
data_BaSc2Fe
_chemical_formula_sum 'Ba1 Sc2 Fe1'
_space_group_name_H-M_alt 'P 4 m m'
_space_group_IT_number 99
_cell_length_a 3.6539
_cell_length_b 3.6539
_cell_length_c 8.1081
_cell_angle_alpha 90.00
_cell_angle_beta 90.00
_cell_angle_gamma 90.00
loop_
_space_group_symop_operation_xyz
'x,y,z'
'-y,x,z'
'-x,-y,z'
'y,-x,z'
'-x,y,z'
'y,x,z'
'x,-y,z'
'-y,-x,z'
loop_
_atom_site_label
_atom_site_fract_x
_atom_site_fract_y
_atom_site_fract_z
_atom_site_occupancy
Ba1 0.0000 0.0000 0.0000 1
Sc1 0.0000 0.0000 0.4039 1
Sc2 0.5000 0.5000 0.6284 1
Fe1 0.5000 0.5000 0.3070 1
```


## 3
A plane-wave DFT calculation with PBE-GGA was carried out for a relaxed structure of BaSc2Fe.

Computed properties:
- DOS(E_F): 7.9 states/eV per cell
- Spin magnetization: 0.00 μB/atom

CIF file:
```
data_BaSc2Fe
_chemical_formula_sum 'Ba2 Sc4 Fe2'
_space_group_name_H-M_alt 'C 1 m 1'
_space_group_IT_number 8
_cell_length_a 9.0513
_cell_length_b 3.3994
_cell_length_c 7.7069
_cell_angle_alpha 90.00
_cell_angle_beta 108.01
_cell_angle_gamma 90.00
loop_
_space_group_symop_operation_xyz
'x,y,z'
'x,-y,z'
'x+1/2,y+1/2,z'
'x+1/2,-y+1/2,z'
loop_
_atom_site_label
_atom_site_fract_x
_atom_site_fract_y
_atom_site_fract_z
_atom_site_occupancy
Ba1 0.0000 0.0000 0.0000 1
Sc1 0.1410 0.5000 0.6392 1
Sc2 0.3450 0.5000 0.3839 1
Fe1 0.3625 0.0000 0.6277 1
```


Relative stability in eV/atom, measured from the most stable structure: 1 0.391; 2 0.000; 3 0.028


## 1
A plane-wave DFT calculation with PBE-GGA was carried out for a relaxed structure of BaSc2Fe.

Computed properties:
- DOS(E_F): 10.8 states/eV per cell
- Spin magnetization: 0.16 μB/atom

CIF file:
```
data_BaSc2Fe
_chemical_formula_sum 'Ba2 Sc4 Fe2'
_space_group_name_H-M_alt 'I m m m'
_space_group_IT_number 71
_space_group_name_Hall '-I 2 2'
_cell_length_a 3.4181
_cell_length_b 5.8952
_cell_length_c 10.5323
_cell_angle_alpha 90.00
_cell_angle_beta 90.00
_cell_angle_gamma 90.00
loop_
_atom_site_label
_atom_site_fract_x
_atom_site_fract_y
_atom_site_fract_z
_atom_site_occupancy
Ba1 0.0000 0.0000 0.0000 1
Sc1 0.0000 0.5000 0.1808 1
Fe1 0.0000 0.0000 0.5000 1
```


## 2
A plane-wave DFT calculation with PBE-GGA was carried out for a relaxed structure of BaSc2Fe.

Computed properties:
- DOS(E_F): 4.8 states/eV per cell
- Spin magnetization: 0.34 μB/atom

CIF file:
```
data_BaSc2Fe
_chemical_formula_sum 'Ba1 Sc2 Fe1'
_space_group_name_H-M_alt 'P 4/m m m'
_space_group_IT_number 123
_space_group_name_Hall '-P 4 2'
_cell_length_a 4.5003
_cell_length_b 4.5003
_cell_length_c 5.0643
_cell_angle_alpha 90.00
_cell_angle_beta 90.00
_cell_angle_gamma 90.00
loop_
_atom_site_label
_atom_site_fract_x
_atom_site_fract_y
_atom_site_fract_z
_atom_site_occupancy
Ba1 0.0000 0.0000 0.0000 1
Sc1 0.0000 0.5000 0.5000 1
Fe1 0.5000 0.5000 0.0000 1
```


## 3
A plane-wave DFT calculation with PBE-GGA was carried out for a relaxed structure of BaSc2Fe.

Computed properties:
- DOS(E_F): 18.3 states/eV per cell
- Spin magnetization: 0.00 μB/atom

CIF file:
```
data_BaSc2Fe
_chemical_formula_sum 'Ba4 Sc8 Fe4'
_space_group_name_H-M_alt 'I 41/a m d'
_space_group_IT_number 141
_cell_length_a 7.3064
_cell_length_b 7.3064
_cell_length_c 10.4259
_cell_angle_alpha 90.00
_cell_angle_beta 90.00
_cell_angle_gamma 90.00
loop_
_space_group_symop_operation_xyz
'x,y,z'
'-x,-y,-z'
'-y+1/4,x+3/4,z+1/4'
'y+1/4,-x+3/4,-z+1/4'
'-x+1/2,-y,z+1/2'
'x+1/2,y,-z+1/2'
'y+1/4,-x+1/4,z+3/4'
'-y+1/4,x+1/4,-z+3/4'
'x,-y,-z'
'-x,y,z'
'-y+1/4,-x+1/4,-z+3/4'
'y+1/4,x+1/4,z+3/4'
'-x+1/2,y,-z+1/2'
'x+1/2,-y,z+1/2'
'y+1/4,x+3/4,-z+1/4'
'-y+1/4,-x+3/4,z+1/4'
'x+1/2,y+1/2,z+1/2'
'-x+1/2,-y+1/2,-z+1/2'
'-y+3/4,x+1/4,z+3/4'
'y+3/4,-x+1/4,-z+3/4'
'-x,-y+1/2,z'
'x,y+1/2,-z'
'y+3/4,-x+3/4,z+1/4'
'-y+3/4,x+3/4,-z+1/4'
'x+1/2,-y+1/2,-z+1/2'
'-x+1/2,y+1/2,z+1/2'
'-y+3/4,-x+3/4,-z+1/4'
'y+3/4,x+3/4,z+1/4'
'-x,y+1/2,-z'
'x,-y+1/2,z'
'y+3/4,x+1/4,-z+3/4'
'-y+3/4,-x+1/4,z+3/4'
loop_
_atom_site_label
_atom_site_fract_x
_atom_site_fract_y
_atom_site_fract_z
_atom_site_occupancy
Ba1 0.0000 0.2500 0.3750 1
Sc1 0.0000 0.0000 0.0000 1
Fe1 0.0000 0.2500 0.8750 1
```


## 4
A plane-wave DFT calculation with PBE-GGA was carried out for a relaxed structure of BaSc2Fe.

Computed properties:
- DOS(E_F): 7.4 states/eV per cell
- Spin magnetization: 0.00 μB/atom

CIF file:
```
data_BaSc2Fe
_chemical_formula_sum 'Ba2 Sc4 Fe2'
_space_group_name_H-M_alt 'I m m 2'
_space_group_IT_number 44
_cell_length_a 3.2479
_cell_length_b 4.3533
_cell_length_c 15.5383
_cell_angle_alpha 90.00
_cell_angle_beta 90.00
_cell_angle_gamma 90.00
loop_
_space_group_symop_operation_xyz
'x,y,z'
'-x,-y,z'
'-x,y,z'
'x,-y,z'
'x+1/2,y+1/2,z+1/2'
'-x+1/2,-y+1/2,z+1/2'
'-x+1/2,y+1/2,z+1/2'
'x+1/2,-y+1/2,z+1/2'
loop_
_atom_site_label
_atom_site_fract_x
_atom_site_fract_y
_atom_site_fract_z
_atom_site_occupancy
Ba1 0.0000 0.0000 0.0000 1
Sc1 0.0000 0.0000 0.3121 1
Sc2 0.0000 0.5000 0.1786 1
Fe1 0.0000 0.5000 0.6872 1
```


Relative stability in eV/atom, measured from the most stable structure: 1 0.028; 2 0.302; 3 0.165; 4 0.000